MnPO4, optimized geometry, DFT PBE with a Hubbard U; DFT total energy = -7.33 eV/atom; symmetry = No. 9
1.0
2.4632 4.6498 -0.0069
-2.4632 4.6498 -0.0069
0.0000 3.9743 8.1595
O Mn P
8 2 2
Cartesian
1.5368 8.5733 7.8164
-1.0110 7.1367 0.9684
-1.8230 6.7228 6.2616
-0.4206 4.1860 1.2504
0.4206 6.1731 5.3302
-1.5368 6.5862 3.7366
1.8230 4.7357 2.1819
1.0110 9.1238 5.0482
1.4056 7.6089 6.1619
-1.4056 5.6218 2.0821
1.1046 3.9963 1.0258
-1.1046 5.9834 5.1055